A plane-wave DFT calculation with PBE was carried out for a relaxed AcLaGd4 crystal.

Unit cell a=6.798 b=6.798 c=6.798 alpha=60.00 beta=60.00 gamma=60.00
Sites, in units of the cell vectors:
Ac 0.000 0.000 0.000
La 0.750 0.750 0.750
Gd 0.375 0.375 0.375
Gd 0.375 0.375 0.874
Gd 0.375 0.874 0.375
Gd 0.874 0.375 0.375

formation energy	0.209	eV/atom
magnetic moment	33.8	μB per formula unit